# HfCO2F

A relaxed structure of HfCO2F (PBE, the Alexandria database).

Formation energy (no corrections) = -148 meV per atom

a b c (Å): 3.7316 3.7316 3.5035
angles (deg): 90.00 90.00 90.00
With the nearest neighbours (Å) after each atom.
Space group P4/mmm (No. 123)
One atom of each set of equivalent atoms:
1 Hf 0.0000 0.0000 0.0000 (multiplicity 1)  8 O 2.56, 4 F 2.64
2 C 0.5000 0.5000 0.5000 (multiplicity 1)  2 F 1.75, 4 O 1.87
3 O 0.0000 0.5000 0.5000 (multiplicity 2)  2 C 1.87
4 F 0.5000 0.5000 0.0000 (multiplicity 1)  2 C 1.75

=====

# NdDyEr2Sc

A relaxed structure of NdDyEr2Sc (PBE, the Alexandria database).

Formation enthalpy at 0 K = 1.6 eV/f.u.

a b c (Å): 8.1681 11.2212 7.0742
angles (deg): 90.00 90.00 90.00
With the nearest neighbours (Å) after each atom.
Space group Cmcm (No. 63)
One atom of each set of equivalent atoms:
1 Nd 0.0000 0.2305 0.2500 (multiplicity 4)  1 Sc 2.98
2 Dy 0.0000 0.2325 0.7500 (multiplicity 4)  1 Sc 3.05
3 Er 0.1966 0.0000 0.0000 (multiplicity 8)  2 Sc 3.05, 1 Er 3.21
4 Sc 0.0000 0.4961 0.2500 (multiplicity 4)  1 Nd 2.98, 4 Er 3.05, 1 Dy 3.05